# In5Ni3

A geometry-optimized In5Ni3 structure (PBE-GGA, Alexandria).

Excess energy over the best structure of this formula in the dataset = 0.000 eV/atom
DOS at the Fermi energy = 0.37 states/eV/atom
Energy = -3.906 eV per atom

Cell lengths 7.527, 7.527, 6.025 Å; angles 90.00, 90.00, 120.00 degrees
Fractional coordinates of all 16 atoms:
In1 0.000 0.246 0.250
In2 0.000 0.754 0.750
In3 0.246 0.000 0.250
In4 0.246 0.246 0.750
In5 0.333 0.667 0.000
In6 0.333 0.667 0.500
In7 0.667 0.333 0.000
In8 0.667 0.333 0.500
In9 0.754 0.000 0.750
In10 0.754 0.754 0.250
Ni1 0.000 0.400 0.750
Ni2 0.000 0.600 0.250
Ni3 0.400 0.000 0.750
Ni4 0.400 0.400 0.250
Ni5 0.600 0.000 0.250
Ni6 0.600 0.600 0.750